No. 1
This record from Alexandria via LeMat-Bulk describes a relaxed structure of Sm3HoCu2. The functional is PBE.

Cell: 4.9814 6.9471 8.8750 Å, 90.00 90.00 90.00°
Sites, in units of the cell vectors:
Ho1 0.5000 0.5107 0.5748
Sm1 0.0000 0.8550 0.6605
Cu1 0.5000 0.2356 0.1566
Sm2 0.5000 0.6441 0.1635
Sm3 0.0000 0.3550 0.3395
Cu2 0.0000 0.2638 0.6503
Sm4 0.0000 0.4907 0.9224
Sm5 0.5000 0.1441 0.8365
Cu3 0.0000 0.7638 0.3497
Cu4 0.5000 0.7356 0.8434
Ho2 0.5000 0.0107 0.4252
Sm6 0.0000 0.9907 0.0776

Values from the calculation:
For the density of states at the Fermi level, the calculation gives 1.0288 states/eV per atom. The space group is Pmc2_1 (26). The formation enthalpy at 0 K comes out at -0.13 eV/atom.

=====

No. 2
This record from Alexandria via LeMat-Bulk describes a relaxed structure of Ca2YMgNi. The functional is PBE.

Cell: 5.4477 5.4477 5.2420 Å, 90.00 90.00 90.00°
Sites, in units of the cell vectors:
Mg1 0.5000 0.5000 0.5000
Y1 0.0000 0.0000 0.5000
Ca1 0.5000 0.0000 0.0000
Ca2 0.0000 0.5000 0.0000
Ni1 0.0000 0.0000 0.0000

Values from the calculation:
For the density of states at the Fermi level, the calculation gives 0.8332 states/eV per atom. The space group is P4/mmm (123). The formation enthalpy at 0 K comes out at -0.02 eV/atom.

=====

No. 3
This record from Alexandria via LeMat-Bulk describes a relaxed structure of TbCe2Si. The functional is PBE.

Cell: 5.3763 6.2731 6.5871 Å, 90.00 90.00 115.37°
Sites, in units of the cell vectors:
Si1 0.1745 0.3489 0.2500
Ce1 0.6189 0.2378 0.4583
Ce2 0.6189 0.2378 0.0417
Tb1 0.9205 0.8410 0.2500
Si2 0.8255 0.6511 0.7500
Ce3 0.3811 0.7622 0.5417
Ce4 0.3811 0.7622 0.9583
Tb2 0.0795 0.1590 0.7500

Values from the calculation:
For the density of states at the Fermi level, the calculation gives 1.9813 states/eV per atom. The space group is Cmcm (63). As for the formation energy from raw total energies: -0.304 eV/atom. The calculation puts the energy above the lowest structure with this stoichiometry at 91 meV per atom.

=====

No. 4
This record from Alexandria via LeMat-Bulk describes a relaxed structure of Tb2NdOs. The functional is PBE.

Cell: 6.4524 7.4653 9.2182 Å, 90.00 90.00 90.00°
Sites, in units of the cell vectors:
Tb1 0.6661 0.8256 0.9351
Os1 0.5507 0.1150 0.7500
Tb2 0.1661 0.6744 0.0649
Tb3 0.1661 0.6744 0.4351
Nd1 0.3691 0.4598 0.7500
Nd2 0.6309 0.5402 0.2500
Os2 0.4493 0.8850 0.2500
Nd3 0.8691 0.0402 0.2500
Os3 0.9493 0.6150 0.7500
Tb4 0.3339 0.1744 0.4351
Tb5 0.6661 0.8256 0.5649
Tb6 0.3339 0.1744 0.0649
Tb7 0.8339 0.3256 0.5649
Tb8 0.8339 0.3256 0.9351
Os4 0.0507 0.3850 0.2500
Nd4 0.1309 0.9598 0.7500

Values from the calculation:
For the density of states at the Fermi level, the calculation gives 0.8574 states/eV per atom. The space group is Pnma (62). The formation enthalpy at 0 K comes out at -0.19 eV/atom. The calculation puts the energy above the lowest structure with this stoichiometry at 0 meV per atom.

=====

No. 5
This record from Alexandria via LeMat-Bulk describes a relaxed structure of Tl2ZnOs. The functional is PBE.

Cell: 4.8218 4.8218 4.8218 Å, 60.00 60.00 60.00°
Sites, in units of the cell vectors:
Tl1 0.2500 0.2500 0.2500
Zn1 0.0000 0.0000 0.0000
Os1 0.5000 0.5000 0.5000
Tl2 0.7500 0.7500 0.7500

Values from the calculation:
For the density of states at the Fermi level, the calculation gives 0.8392 states/eV per atom. The space group is Fm-3m (225). The formation enthalpy at 0 K comes out at 0.90 eV/atom. The calculation puts the energy above the lowest structure with this stoichiometry at 370 meV per atom.

=====

No. 6
This record from Alexandria via LeMat-Bulk describes a relaxed structure of PaSCl. The functional is PBE.

Cell: 7.0734 3.7447 3.7447 Å, 120.00 90.00 90.00°
Sites, in units of the cell vectors:
Cl1 0.0862 0.0000 0.0000
S1 0.5679 0.3333 0.6667
Pa1 0.3459 0.6667 0.3333

Values from the calculation:
For the density of states at the Fermi level, the calculation gives 0.9699 states/eV per atom. The space group is P3m1 (156). As for the formation energy from raw total energies: -1.457 eV/atom. The calculation puts the energy above the lowest structure with this stoichiometry at 144 meV per atom.

=====

No. 7
This record from Alexandria via LeMat-Bulk describes a relaxed structure of KScZn2. The functional is PBE.

Cell: 5.7033 5.7033 5.7033 Å, 134.00 134.00 67.08°
Sites, in units of the cell vectors:
Zn1 0.0000 0.0000 0.0000
Zn2 0.2500 0.7500 0.5000
K1 0.5000 0.5000 0.0000
Sc1 0.7500 0.2500 0.5000

Values from the calculation:
For the density of states at the Fermi level, the calculation gives 1.0214 states/eV per atom. The space group is I-4m2 (119). The formation enthalpy at 0 K comes out at 0.40 eV/atom. The calculation puts the energy above the lowest structure with this stoichiometry at 409 meV per atom.